# 1
VASP calculation (PBE) on AcPrSm2Ho5 after structural relaxation.

Computed properties:
Total DFT energy (no corrections) in eV/atom: -4.330
ΔH_f (0 K) in eV per atom: 0.249

Geometry as CIF:
```
data_AcPrSm2Ho5
_chemical_formula_sum 'Ac4 Pr4 Sm8 Ho20'
_symmetry_space_group_name_H-M 'I 4/m c m'
_symmetry_Int_Tables_number 140
_symmetry_space_group_name_Hall '-I 4 2c'
_cell_length_a 8.830
_cell_length_b 8.830
_cell_length_c 15.670
_cell_angle_alpha 90.00
_cell_angle_beta 90.00
_cell_angle_gamma 90.00
loop_
_atom_site_label
_atom_site_fract_x
_atom_site_fract_y
_atom_site_fract_z
_atom_site_occupancy
Ac1 0.000 0.000 0.250 1
Pr1 0.000 0.500 0.250 1
Sm1 0.117 0.383 0.000 1
Ho1 0.000 0.000 0.000 1
Ho2 0.205 0.295 0.370 1
```

# 2
VASP calculation (PBE) on BeZn3Pt after structural relaxation.

Computed properties:
Total DFT energy (no corrections) in eV/atom: -2.363
Energy above the most stable polymorph in this dataset in kcal/mol of atoms: 0.00
ΔH_f (0 K) in eV per atom: 0.355

Geometry as CIF:
```
data_BeZn3Pt
_chemical_formula_sum 'Be1 Zn3 Pt1'
_symmetry_space_group_name_H-M 'P m -3 m'
_symmetry_Int_Tables_number 221
_symmetry_space_group_name_Hall '-P 4 2 3'
_cell_length_a 4.206
_cell_length_b 4.206
_cell_length_c 4.206
_cell_angle_alpha 90.00
_cell_angle_beta 90.00
_cell_angle_gamma 90.00
loop_
_atom_site_label
_atom_site_fract_x
_atom_site_fract_y
_atom_site_fract_z
_atom_site_occupancy
Be1 0.000 0.000 0.000 1
Zn1 0.000 0.000 0.500 1
Pt1 0.500 0.500 0.500 1
```

# 3
VASP calculation (PBE) on Tb3Pr2Ho3 after structural relaxation.

Computed properties:
Total DFT energy (no corrections) in eV/atom: -4.644
Energy above the most stable polymorph in this dataset in kcal/mol of atoms: 0.00
ΔH_f (0 K) in eV per atom: 0.003

Geometry as CIF:
```
data_Tb3Pr2Ho3
_chemical_formula_sum 'Tb6 Pr4 Ho6'
_symmetry_space_group_name_H-M 'C 1 2/m 1'
_symmetry_Int_Tables_number 12
_cell_length_a 23.969
_cell_length_b 3.604
_cell_length_c 6.237
_cell_angle_alpha 90.00
_cell_angle_beta 105.04
_cell_angle_gamma 90.00
loop_
_symmetry_equiv_pos_as_xyz
'x,y,z'
'-x,-y,-z'
'-x,y,-z'
'x,-y,z'
'x+1/2,y+1/2,z'
'-x+1/2,-y+1/2,-z'
'-x+1/2,y+1/2,-z'
'x+1/2,-y+1/2,z'
loop_
_atom_site_label
_atom_site_fract_x
_atom_site_fract_y
_atom_site_fract_z
_atom_site_occupancy
Tb1 0.000 0.000 0.000 1
Tb2 0.123 0.000 0.790 1
Pr1 0.250 0.000 0.250 1
Ho1 0.000 0.500 0.500 1
Ho2 0.123 0.500 0.290 1
```